# BaPr2Br6 PBE-GGA relaxed
# Symmetry: C2/c
# Crystal system: monoclinic
# V: 611 Å³ per cell
# Total magnetization: 0.0 μB per formula unit
# Total energy: -37.8 eV per formula unit
data_BaPr2Br6
_chemical_formula_sum 'Ba2 Pr4 Br12'
_symmetry_space_group_name_H-M 'P 1'
_symmetry_Int_Tables_number 1
_cell_length_a 7.072
_cell_length_b 9.992
_cell_length_c 9.992
_cell_angle_alpha 65.78
_cell_angle_beta 74.58
_cell_angle_gamma 74.58
loop_
_symmetry_equiv_pos_as_xyz
'x,y,z'
loop_
_atom_site_label
_atom_site_type_symbol
_atom_site_fract_x
_atom_site_fract_y
_atom_site_fract_z
Br1 Br 0.066 0.810 0.990
Br2 Br 0.313 0.421 0.957
Ba1 Ba 0.750 0.697 0.303
Pr1 Pr 0.437 0.739 0.782
Br3 Br 0.687 0.579 0.043
Br4 Br 0.815 0.550 0.667
Br5 Br 0.187 0.043 0.579
Br6 Br 0.813 0.957 0.421
Br7 Br 0.185 0.450 0.333
Br8 Br 0.315 0.667 0.550
Pr2 Pr 0.563 0.261 0.218
Br9 Br 0.934 0.190 0.010
Pr3 Pr 0.937 0.782 0.739
Ba2 Ba 0.250 0.303 0.697
Br10 Br 0.434 0.010 0.190
Pr4 Pr 0.063 0.218 0.261
Br11 Br 0.685 0.333 0.450
Br12 Br 0.566 0.990 0.810

***

# RbBaPrBr6 PBE-GGA relaxed
# Symmetry: P-31c
# Crystal system: trigonal
# V: 823 Å³ per cell
# Total magnetization: 0.0 μB per formula unit
# Total energy: -35.4 eV per formula unit
data_RbBaPrBr6
_chemical_formula_sum 'Rb2 Ba2 Pr2 Br12'
_symmetry_space_group_name_H-M 'P 1'
_symmetry_Int_Tables_number 1
_cell_length_a 8.163
_cell_length_b 8.163
_cell_length_c 14.256
_cell_angle_alpha 90.00
_cell_angle_beta 90.00
_cell_angle_gamma 120.00
loop_
_symmetry_equiv_pos_as_xyz
'x,y,z'
loop_
_atom_site_label
_atom_site_type_symbol
_atom_site_fract_x
_atom_site_fract_y
_atom_site_fract_z
Br1 Br 0.971 0.351 0.133
Rb1 Rb 0.000 0.000 0.500
Br2 Br 0.351 0.971 0.633
Ba1 Ba 0.667 0.333 0.750
Br3 Br 0.380 0.351 0.367
Br4 Br 0.029 0.380 0.633
Br5 Br 0.649 0.029 0.367
Br6 Br 0.351 0.380 0.867
Br7 Br 0.971 0.620 0.367
Rb2 Rb 0.000 0.000 0.000
Br8 Br 0.649 0.620 0.133
Br9 Br 0.029 0.649 0.867
Br10 Br 0.380 0.029 0.133
Ba2 Ba 0.333 0.667 0.250
Pr1 Pr 0.333 0.667 0.750
Pr2 Pr 0.667 0.333 0.250
Br11 Br 0.620 0.971 0.867
Br12 Br 0.620 0.649 0.633

***

# BaPrTlBr6 PBE-GGA relaxed
# Symmetry: P-31c
# Crystal system: trigonal
# V: 782 Å³ per cell
# Total magnetization: 0.0 μB per formula unit
# Total energy: -34.9 eV per formula unit
data_BaPrTlBr6
_chemical_formula_sum 'Ba2 Pr2 Tl2 Br12'
_symmetry_space_group_name_H-M 'P 1'
_symmetry_Int_Tables_number 1
_cell_length_a 8.086
_cell_length_b 8.086
_cell_length_c 13.804
_cell_angle_alpha 90.00
_cell_angle_beta 90.00
_cell_angle_gamma 120.00
loop_
_symmetry_equiv_pos_as_xyz
'x,y,z'
loop_
_atom_site_label
_atom_site_type_symbol
_atom_site_fract_x
_atom_site_fract_y
_atom_site_fract_z
Br1 Br 0.373 0.344 0.371
Br2 Br 0.627 0.971 0.871
Br3 Br 0.029 0.656 0.871
Br4 Br 0.029 0.373 0.629
Tl1 Tl 0.000 0.000 0.000
Pr1 Pr 0.667 0.333 0.250
Ba1 Ba 0.333 0.667 0.250
Br5 Br 0.656 0.029 0.371
Tl2 Tl 0.000 0.000 0.500
Ba2 Ba 0.667 0.333 0.750
Br6 Br 0.971 0.627 0.371
Br7 Br 0.373 0.029 0.129
Br8 Br 0.656 0.627 0.129
Br9 Br 0.344 0.971 0.629
Pr2 Pr 0.333 0.667 0.750
Br10 Br 0.627 0.656 0.629
Br11 Br 0.971 0.344 0.129
Br12 Br 0.344 0.373 0.871

***

# Ba4PtBr3 PBE-GGA relaxed
# Symmetry: P2/c
# Crystal system: monoclinic
# V: 647 Å³ per cell
# Total magnetization: 0.0 μB per formula unit
# Total energy: -30.2 eV per formula unit
data_Ba4PtBr3
_chemical_formula_sum 'Ba8 Pt2 Br6'
_symmetry_space_group_name_H-M 'P 1'
_symmetry_Int_Tables_number 1
_cell_length_a 8.068
_cell_length_b 8.638
_cell_length_c 9.809
_cell_angle_alpha 90.00
_cell_angle_beta 90.00
_cell_angle_gamma 108.85
loop_
_symmetry_equiv_pos_as_xyz
'x,y,z'
loop_
_atom_site_label
_atom_site_type_symbol
_atom_site_fract_x
_atom_site_fract_y
_atom_site_fract_z
Br1 Br 0.250 0.500 0.398
Br2 Br 0.750 0.500 0.135
Pt1 Pt 0.250 0.000 0.127
Ba1 Ba 0.024 0.769 0.346
Ba2 Ba 0.002 0.788 0.894
Br3 Br 0.750 0.500 0.602
Ba3 Ba 0.998 0.212 0.106
Ba4 Ba 0.976 0.231 0.654
Ba5 Ba 0.502 0.788 0.106
Ba6 Ba 0.498 0.212 0.894
Ba7 Ba 0.524 0.769 0.654
Br4 Br 0.750 0.000 0.395
Ba8 Ba 0.476 0.231 0.346
Br5 Br 0.250 0.000 0.605
Pt2 Pt 0.750 0.000 0.873
Br6 Br 0.250 0.500 0.865

***

# BaPt3Br PBE-GGA relaxed
# Symmetry: Pm-3m
# Crystal system: cubic
# V: 123 Å³ per cell
# Total magnetization: 0.0 μB per formula unit
# Offset from the most stable computed form: 0 meV/atom
data_BaPt3Br
_chemical_formula_sum 'Ba1 Pt3 Br1'
_symmetry_space_group_name_H-M 'P 1'
_symmetry_Int_Tables_number 1
_cell_length_a 4.970
_cell_length_b 4.970
_cell_length_c 4.970
_cell_angle_alpha 90.00
_cell_angle_beta 90.00
_cell_angle_gamma 90.00
loop_
_symmetry_equiv_pos_as_xyz
'x,y,z'
loop_
_atom_site_label
_atom_site_type_symbol
_atom_site_fract_x
_atom_site_fract_y
_atom_site_fract_z
Pt1 Pt 0.000 0.500 0.000
Br1 Br 0.000 0.000 0.000
Pt2 Pt 0.000 0.000 0.500
Ba1 Ba 0.500 0.500 0.500
Pt3 Pt 0.500 0.000 0.000

***

# BaPt3Br PBE-GGA relaxed
# Symmetry: Pm-3m
# Crystal system: cubic
# V: 162 Å³ per cell
# Total magnetization: 0.0 μB per formula unit
# Offset from the most stable computed form: 1354 meV/atom
data_BaPt3Br
_chemical_formula_sum 'Ba1 Pt3 Br1'
_symmetry_space_group_name_H-M 'P 1'
_symmetry_Int_Tables_number 1
_cell_length_a 5.457
_cell_length_b 5.457
_cell_length_c 5.457
_cell_angle_alpha 90.00
_cell_angle_beta 90.00
_cell_angle_gamma 90.00
loop_
_symmetry_equiv_pos_as_xyz
'x,y,z'
loop_
_atom_site_label
_atom_site_type_symbol
_atom_site_fract_x
_atom_site_fract_y
_atom_site_fract_z
Ba1 Ba 0.000 0.000 0.000
Pt1 Pt 0.000 0.500 0.000
Br1 Br 0.500 0.500 0.500
Pt2 Pt 0.500 0.000 0.000
Pt3 Pt 0.000 0.000 0.500

***

# Ba6Pt3Br PBE-GGA relaxed
# Symmetry: P2_1/m
# Crystal system: monoclinic
# V: 855 Å³ per cell
# Total magnetization: 0.0 μB per formula unit
# Total energy: -39.8 eV per formula unit
data_Ba6Pt3Br
_chemical_formula_sum 'Ba12 Pt6 Br2'
_symmetry_space_group_name_H-M 'P 1'
_symmetry_Int_Tables_number 1
_cell_length_a 4.512
_cell_length_b 13.122
_cell_length_c 15.844
_cell_angle_alpha 114.36
_cell_angle_beta 90.00
_cell_angle_gamma 90.00
loop_
_symmetry_equiv_pos_as_xyz
'x,y,z'
loop_
_atom_site_label
_atom_site_type_symbol
_atom_site_fract_x
_atom_site_fract_y
_atom_site_fract_z
Pt1 Pt 0.750 0.764 0.258
Ba1 Ba 0.250 0.988 0.722
Ba2 Ba 0.750 0.178 0.590
Pt2 Pt 0.250 0.236 0.742
Br1 Br 0.250 0.361 0.082
Pt3 Pt 0.750 0.008 0.869
Ba3 Ba 0.250 0.728 0.111
Ba4 Ba 0.750 0.650 0.572
Br2 Br 0.750 0.639 0.918
Ba5 Ba 0.750 0.272 0.889
Ba6 Ba 0.250 0.862 0.913
Ba7 Ba 0.250 0.350 0.428
Ba8 Ba 0.750 0.526 0.265
Ba9 Ba 0.250 0.474 0.735
Ba10 Ba 0.750 0.138 0.087
Ba11 Ba 0.750 0.012 0.278
Pt4 Pt 0.250 0.992 0.131
Pt5 Pt 0.250 0.587 0.419
Pt6 Pt 0.750 0.413 0.581
Ba12 Ba 0.250 0.822 0.410

***

# Ba8Pt3Br PBE-GGA relaxed
# Symmetry: R-3m
# Crystal system: trigonal
# V: 577 Å³ per cell
# Total magnetization: 0.0 μB per formula unit
# Total energy: -44.0 eV per formula unit
data_Ba8Pt3Br
_chemical_formula_sum 'Ba8 Pt3 Br1'
_symmetry_space_group_name_H-M 'P 1'
_symmetry_Int_Tables_number 1
_cell_length_a 9.420
_cell_length_b 9.415
_cell_length_c 9.279
_cell_angle_alpha 120.52
_cell_angle_beta 90.00
_cell_angle_gamma 120.01
loop_
_symmetry_equiv_pos_as_xyz
'x,y,z'
loop_
_atom_site_label
_atom_site_type_symbol
_atom_site_fract_x
_atom_site_fract_y
_atom_site_fract_z
Ba1 Ba 0.258 0.515 0.773
Ba2 Ba 0.256 0.979 0.234
Ba3 Ba 0.742 0.485 0.227
Ba4 Ba 0.278 0.021 0.766
Br1 Br 0.000 0.000 0.000
Ba5 Ba 0.722 0.979 0.234
Ba6 Ba 0.744 0.488 0.766
Pt1 Pt 0.500 0.500 0.000
Ba7 Ba 0.256 0.512 0.234
Pt2 Pt 0.500 0.000 0.000
Pt3 Pt 0.000 0.500 0.000
Ba8 Ba 0.744 0.021 0.766

***

# Ba3Pt2Br PBE-GGA relaxed
# Symmetry: C2/c
# Crystal system: monoclinic
# V: 450 Å³ per cell
# Total magnetization: 0.0 μB per formula unit
# Total energy: -25.3 eV per formula unit
data_Ba3Pt2Br
_chemical_formula_sum 'Ba6 Pt4 Br2'
_symmetry_space_group_name_H-M 'P 1'
_symmetry_Int_Tables_number 1
_cell_length_a 5.416
_cell_length_b 9.435
_cell_length_c 9.916
_cell_angle_alpha 83.79
_cell_angle_beta 112.16
_cell_angle_gamma 106.68
loop_
_symmetry_equiv_pos_as_xyz
'x,y,z'
loop_
_atom_site_label
_atom_site_type_symbol
_atom_site_fract_x
_atom_site_fract_y
_atom_site_fract_z
Ba1 Ba 0.448 0.211 0.420
Pt1 Pt 0.487 0.974 0.250
Pt2 Pt 0.000 0.000 0.000
Br1 Br 0.740 0.480 0.750
Ba2 Ba 0.552 0.789 0.580
Ba3 Ba 0.106 0.213 0.750
Ba4 Ba 0.238 0.789 0.920
Pt3 Pt 0.513 0.026 0.750
Ba5 Ba 0.894 0.787 0.250
Pt4 Pt 0.000 0.000 0.500
Br2 Br 0.260 0.520 0.250
Ba6 Ba 0.762 0.211 0.080

***

# BaPtBr4 PBE-GGA relaxed
# Symmetry: F-43m
# Crystal system: cubic
# V: 180 Å³ per cell
# Total magnetization: 0.5 μB per formula unit
# Offset from the most stable computed form: 1244 meV/atom
data_BaPtBr4
_chemical_formula_sum 'Ba1 Pt1 Br4'
_symmetry_space_group_name_H-M 'P 1'
_symmetry_Int_Tables_number 1
_cell_length_a 6.339
_cell_length_b 6.339
_cell_length_c 6.339
_cell_angle_alpha 60.00
_cell_angle_beta 60.00
_cell_angle_gamma 60.00
loop_
_symmetry_equiv_pos_as_xyz
'x,y,z'
loop_
_atom_site_label
_atom_site_type_symbol
_atom_site_fract_x
_atom_site_fract_y
_atom_site_fract_z
Br1 Br 0.376 0.376 0.872
Br2 Br 0.376 0.872 0.376
Pt1 Pt 0.750 0.750 0.750
Ba1 Ba 0.000 0.000 0.000
Br3 Br 0.376 0.376 0.376
Br4 Br 0.872 0.376 0.376

***

# BaPtBr5 PBE-GGA relaxed
# Symmetry: C2/c
# Crystal system: monoclinic
# V: 490 Å³ per cell
# Total magnetization: 0.0 μB per formula unit
# Total energy: -23.7 eV per formula unit
data_BaPtBr5
_chemical_formula_sum 'Ba2 Pt2 Br10'
_symmetry_space_group_name_H-M 'P 1'
_symmetry_Int_Tables_number 1
_cell_length_a 7.850
_cell_length_b 7.850
_cell_length_c 10.987
_cell_angle_alpha 83.59
_cell_angle_beta 113.49
_cell_angle_gamma 126.75
loop_
_symmetry_equiv_pos_as_xyz
'x,y,z'
loop_
_atom_site_label
_atom_site_type_symbol
_atom_site_fract_x
_atom_site_fract_y
_atom_site_fract_z
Br1 Br 0.326 0.625 0.412
Br2 Br 0.721 0.971 0.750
Br3 Br 0.844 0.153 0.449
Pt1 Pt 0.500 0.000 0.500
Br4 Br 0.204 0.395 0.051
Br5 Br 0.279 0.029 0.250
Ba1 Ba 0.767 0.517 0.250
Br6 Br 0.287 0.086 0.912
Br7 Br 0.156 0.847 0.551
Br8 Br 0.674 0.375 0.588
Br9 Br 0.713 0.914 0.088
Br10 Br 0.796 0.605 0.949
Pt2 Pt 0.000 0.000 0.000
Ba2 Ba 0.233 0.483 0.750

***

# Ba5Pt2Br2 PBE-GGA relaxed
# Symmetry: Cmce
# Crystal system: orthorhombic
# V: 683 Å³ per cell
# Total magnetization: 0.0 μB per formula unit
# Total energy: -34.7 eV per formula unit
data_Ba5Pt2Br2
_chemical_formula_sum 'Ba10 Pt4 Br4'
_symmetry_space_group_name_H-M 'P 1'
_symmetry_Int_Tables_number 1
_cell_length_a 8.914
_cell_length_b 8.876
_cell_length_c 9.703
_cell_angle_alpha 117.22
_cell_angle_beta 90.00
_cell_angle_gamma 90.00
loop_
_symmetry_equiv_pos_as_xyz
'x,y,z'
loop_
_atom_site_label
_atom_site_type_symbol
_atom_site_fract_x
_atom_site_fract_y
_atom_site_fract_z
Pt1 Pt 0.357 0.144 0.000
Br1 Br 0.000 0.209 0.418
Pt2 Pt 0.143 0.644 0.000
Ba1 Ba 0.346 0.963 0.237
Ba2 Ba 0.154 0.226 0.763
Ba3 Ba 0.654 0.274 0.237
Ba4 Ba 0.500 0.500 0.000
Ba5 Ba 0.654 0.037 0.763
Pt3 Pt 0.857 0.356 0.000
Br2 Br 0.000 0.791 0.582
Ba6 Ba 0.846 0.774 0.237
Ba7 Ba 0.154 0.463 0.237
Br3 Br 0.500 0.291 0.582
Br4 Br 0.500 0.709 0.418
Pt4 Pt 0.643 0.856 0.000
Ba8 Ba 0.346 0.726 0.763
Ba9 Ba 0.846 0.537 0.763
Ba10 Ba 0.000 0.000 0.000

***

Please write out number 5 again, unchanged.
# BaPt3Br PBE-GGA relaxed
# Symmetry: Pm-3m
# Crystal system: cubic
# V: 123 Å³ per cell
# Total magnetization: 0.0 μB per formula unit
# Offset from the most stable computed form: 0 meV/atom
data_BaPt3Br
_chemical_formula_sum 'Ba1 Pt3 Br1'
_symmetry_space_group_name_H-M 'P 1'
_symmetry_Int_Tables_number 1
_cell_length_a 4.970
_cell_length_b 4.970
_cell_length_c 4.970
_cell_angle_alpha 90.00
_cell_angle_beta 90.00
_cell_angle_gamma 90.00
loop_
_symmetry_equiv_pos_as_xyz
'x,y,z'
loop_
_atom_site_label
_atom_site_type_symbol
_atom_site_fract_x
_atom_site_fract_y
_atom_site_fract_z
Pt1 Pt 0.000 0.500 0.000
Br1 Br 0.000 0.000 0.000
Pt2 Pt 0.000 0.000 0.500
Ba1 Ba 0.500 0.500 0.500
Pt3 Pt 0.500 0.000 0.000

***

What is the formula in the second record? RbBaPrBr6

***

What is the V in the eighth record? 577 Å³ per cell